[1]
First-principles (GGA-PBE) data for a geometry-optimized Mg3Cd2Mo2 structure, as listed in OQMD via LeMat-Bulk.

abc: 4.7415 4.7415 20.5896
angles: 90.00 90.00 120.00
With the nearest neighbours (Å) after each atom.
Space group R3m (No. 160, hexagonal axes)
Inequivalent atoms, fractional coordinates:
Mg 0.0000 0.0000 0.0000 x3  6 Mg 2.84-2.95, 1 Cd 2.98, 1 Mo 3.13
Mg 0.0000 0.0000 0.2796 x3  1 Mo 2.63, 1 Cd 2.79
Mg 0.0000 0.0000 0.7038 x3  3 Mg 2.84, 4 Cd 2.89-3.12
Cd 0.0000 0.0000 0.4151 x3  1 Mo 2.72, 4 Mg 2.79-2.89
Cd 0.0000 0.0000 0.8555 x3  6 Mo 2.79-2.84, 1 Mg 2.98
Mo 0.0000 0.0000 0.1521 x3  1 Mg 2.63, 3 Cd 2.84
Mo 0.0000 0.0000 0.5474 x3  4 Cd 2.72-2.79, 3 Mo 3.02

Computed properties:
**Total energy**: -75.53 eV per cell

[2]
First-principles (GGA-PBE) data for a geometry-optimized Cu4Ag structure, as listed in OQMD via LeMat-Bulk.

abc: 11.2770 2.6842 8.7932
angles: 90.00 101.47 90.00
With the nearest neighbours (Å) after each atom.
Space group C2/m (No. 12)
Inequivalent atoms, fractional coordinates:
Cu 0.0000 0.0000 0.0000 x2  8 Cu 2.56-2.72, 4 Ag 2.66
Cu 0.0000 0.5000 0.5000 x2  10 Cu 2.62-2.68, 2 Ag 2.64
Cu 0.1080 0.0000 0.3053 x4  10 Cu 2.53-2.72, 2 Ag 2.71
Cu 0.1925 0.5000 0.1022 x4  9 Cu 2.56-2.76, 3 Ag 2.67-2.68
Cu 0.2011 0.0000 0.5917 x4  10 Cu 2.51-2.72, 2 Ag 2.68
Ag 0.1009 0.5000 0.7979 x4  10 Cu 2.64-2.71, 2 Ag 2.68

Computed properties:
**Energy of formation from the pure elements**: 0.074 eV per atom
**Total energy**: -69.29 eV per cell

[3]
First-principles (GGA-PBE) data for a geometry-optimized MoIr3 structure, as listed in OQMD via LeMat-Bulk.

abc: 4.4137 9.5949 5.5356
angles: 90.00 90.00 90.00
With the nearest neighbours (Å) after each atom.
Space group Ama2 (No. 40)
Inequivalent atoms, fractional coordinates:
Mo 0.2500 0.1670 0.0000 x4  12 Ir 2.72-2.77
Ir 0.2500 0.1665 0.5010 x4  4 Mo 2.72-2.77, 8 Ir 2.72-2.78
Ir 0.2500 0.4170 0.2511 x4  8 Ir 2.72-2.77, 4 Mo 2.72-2.77
Ir 0.2500 0.4173 0.7515 x4  8 Ir 2.72-2.78, 4 Mo 2.73-2.77

Computed properties:
**Energy of formation from the pure elements**: -0.333 eV per atom
**Total energy**: -154.98 eV per cell

[4]
First-principles (GGA-PBE) data for a geometry-optimized InPt2W structure, as listed in OQMD via LeMat-Bulk.

abc: 6.4497 6.4497 6.4497
angles: 90.00 90.00 90.00
With the nearest neighbours (Å) after each atom.
Space group F-43m (No. 216)
Inequivalent atoms, fractional coordinates:
In 0.0000 0.0000 0.0000 x4  4 W 2.79, 4 Pt 2.79
Pt 0.0000 0.0000 0.5000 x4  4 W 2.79, 4 Pt 2.79
Pt 0.2500 0.2500 0.7500 x4  4 In 2.79, 4 Pt 2.79
W 0.2500 0.2500 0.2500 x4  4 In 2.79, 4 Pt 2.79

Computed properties:
**Total energy**: -108.62 eV per cell

[5]
First-principles (GGA-PBE) data for a geometry-optimized YHoNF2 structure, as listed in OQMD via LeMat-Bulk.

abc: 3.4580 3.4580 6.6480
angles: 90.00 90.00 120.00
With the nearest neighbours (Å) after each atom.
Space group P3m1 (No. 156)
Inequivalent atoms, fractional coordinates:
Y 0.0000 0.0000 0.0000 x1  3 F 2.34, 3 N 2.41
Ho 0.6667 0.3333 0.6042 x1  3 F 2.32, 3 N 2.37
N 0.3333 0.6667 0.7975 x1  3 Ho 2.37, 3 Y 2.41
F 0.0000 0.0000 0.4276 x1  3 Ho 2.32, 3 F 2.57
F 0.6667 0.3333 0.1850 x1  3 Y 2.34, 3 F 2.57

Computed properties:
**Total energy**: -37.13 eV per cell

[6]
First-principles (GGA-PBE) data for a geometry-optimized CdSnTe structure, as listed in OQMD via LeMat-Bulk.

abc: 7.3828 7.3828 7.3828
angles: 90.00 90.00 90.00
With the nearest neighbours (Å) after each atom.
Space group F-43m (No. 216)
Inequivalent atoms, fractional coordinates:
Cd 0.0000 0.0000 0.0000 x4  4 Sn 3.20
Sn 0.2500 0.2500 0.2500 x4  4 Cd 3.20, 4 Te 3.20
Te 0.0000 0.0000 0.5000 x4  4 Sn 3.20

Computed properties:
**Total energy**: -31.66 eV per cell

[7]
First-principles (GGA-PBE) data for a geometry-optimized PrBeB structure, as listed in OQMD via LeMat-Bulk.

abc: 5.9578 5.9578 5.9578
angles: 90.00 90.00 90.00
With the nearest neighbours (Å) after each atom.
Space group F-43m (No. 216)
Inequivalent atoms, fractional coordinates:
Pr 0.0000 0.0000 0.0000 x4  4 B 2.58
Be 0.0000 0.0000 0.5000 x4  4 B 2.58
B 0.2500 0.2500 0.7500 x4  4 Pr 2.58, 4 Be 2.58

Computed properties:
**Total energy**: -57.69 eV per cell

[8]
First-principles (GGA-PBE) data for a geometry-optimized TbDy2Cd3In3 structure, as listed in OQMD via LeMat-Bulk.

abc: 4.6239 13.0134 7.5018
angles: 90.00 90.00 90.00
With the nearest neighbours (Å) after each atom.
Space group Amm2 (No. 38)
Inequivalent atoms, fractional coordinates:
Tb 0.0000 0.0000 0.0000 x2  5 In 3.21-3.26, 2 Cd 3.33
Dy 0.0000 0.2169 0.6506 x4  5 In 3.21-3.26, 2 Cd 3.34
Cd 0.5000 0.0000 0.6799 x2  4 In 2.89-2.96, 2 Cd 3.20
Cd 0.5000 0.1230 0.3108 x4  4 In 2.88-2.96, 2 Cd 3.20
In 0.0000 0.0000 0.4344 x2  6 Cd 2.96, 2 Dy 3.26, 1 Tb 3.26
In 0.5000 0.1670 0.9336 x4  3 Cd 2.88-2.89, 4 Dy 3.21, 2 Tb 3.21

Computed properties:
**Total energy**: -56.85 eV per cell

[9]
First-principles (GGA-PBE) data for a geometry-optimized YPaNO structure, as listed in OQMD via LeMat-Bulk.

abc: 3.8420 6.5054 6.0437
angles: 90.00 90.00 90.00
With the nearest neighbours (Å) after each atom.
Space group Pmc2_1 (No. 26)
Inequivalent atoms, fractional coordinates:
Y 0.0000 0.1742 0.0000 x2  2 O 2.31-2.32, 2 N 2.34
Pa 0.5000 0.3328 0.5008 x2  2 N 2.23-2.27, 2 O 2.32
N 0.5000 0.3396 0.8703 x2  2 Pa 2.23-2.27, 2 Y 2.34
O 0.0000 0.1641 0.3836 x2  2 Y 2.31-2.32, 2 Pa 2.32

Computed properties:
**Total energy**: -69.45 eV per cell

[10]
First-principles (GGA-PBE) data for a geometry-optimized ScNbW2 structure, as listed in OQMD via LeMat-Bulk.

abc: 6.5241 6.5241 6.5241
angles: 90.00 90.00 90.00
With the nearest neighbours (Å) after each atom.
Space group F-43m (No. 216)
Inequivalent atoms, fractional coordinates:
Sc 0.0000 0.0000 0.0000 x4  4 W 2.83, 4 Nb 2.83
Nb 0.2500 0.2500 0.2500 x4  4 W 2.83, 4 Sc 2.83
W 0.0000 0.0000 0.5000 x4  4 Nb 2.83, 4 W 2.83
W 0.2500 0.2500 0.7500 x4  4 W 2.83, 4 Sc 2.83

Computed properties:
**Energy of formation from the pure elements**: 0.180 eV per atom
**Total energy**: -166.50 eV per cell

[11]
First-principles (GGA-PBE) data for a geometry-optimized Ba2Ni3Ge2 structure, as listed in OQMD via LeMat-Bulk.

abc: 4.1767 4.1767 31.8123
angles: 90.00 90.00 120.00
With the nearest neighbours (Å) after each atom.
Space group R3m (No. 160, hexagonal axes)
Inequivalent atoms, fractional coordinates:
Ba 0.0000 0.0000 0.0000 x3  7 Ni 3.12-3.46, 3 Ge 3.46
Ba 0.0000 0.0000 0.4927 x3  2 Ni 2.94-3.05
Ni 0.0000 0.0000 0.4004 x3  3 Ge 2.44
Ni 0.0000 0.0000 0.5885 x3  3 Ge 2.43, 3 Ni 2.49
Ni 0.0000 0.0000 0.9020 x3  3 Ge 2.43, 3 Ni 2.49
Ge 0.0000 0.0000 0.2449 x3  6 Ni 2.43
Ge 0.0000 0.0000 0.7448 x3  3 Ni 2.44

Computed properties:
**Total energy**: -95.96 eV per cell

[12]
First-principles (GGA-PBE) data for a geometry-optimized LiCd5 structure, as listed in OQMD via LeMat-Bulk.

abc: 5.7089 5.7089 4.8556
angles: 90.00 90.00 120.00
With the nearest neighbours (Å) after each atom.
Space group P6/mmm (No. 191)
Inequivalent atoms, fractional coordinates:
Li 0.0000 0.0000 0.0000 x1  6 Cd 3.30
Cd 0.0000 0.5000 0.5000 x3  8 Cd 2.85-2.93
Cd 0.3333 0.6667 0.0000 x2  6 Cd 2.93

Computed properties:
**Total energy**: -6.42 eV per cell

[13]
First-principles (GGA-PBE) data for a geometry-optimized CdInPd2 structure, as listed in OQMD via LeMat-Bulk.

abc: 4.6087 4.6087 8.2964
angles: 90.00 90.00 120.00
With the nearest neighbours (Å) after each atom.
Space group P6_3/mmc (No. 194)
Inequivalent atoms, fractional coordinates:
Cd 0.0000 0.0000 0.0000 x2  6 Pd 2.75
In 0.3333 0.6667 0.2500 x2  8 Pd 2.77-2.99
Pd 0.3333 0.6667 0.5843 x4  4 Pd 2.75-3.01, 3 Cd 2.75, 4 In 2.77-2.99

Computed properties:
**Total energy**: -31.15 eV per cell

[14]
First-principles (GGA-PBE) data for a geometry-optimized Li2CuPd structure, as listed in OQMD via LeMat-Bulk.

abc: 3.7466 3.7466 3.7040
angles: 90.00 90.00 90.00
With the nearest neighbours (Å) after each atom.
Space group P4/mmm (No. 123)
Inequivalent atoms, fractional coordinates:
Li 0.0000 0.5000 0.0000 x2  4 Pd 2.63, 4 Cu 2.63, 4 Li 2.65
Cu 0.0000 0.0000 0.5000 x1  8 Li 2.63, 4 Pd 2.65
Pd 0.5000 0.5000 0.5000 x1  8 Li 2.63, 4 Cu 2.65

Computed properties:
**Total energy**: -13.81 eV per cell